{"formula": "ZrMnZnO4", "functional": "PBE with a Hubbard U", "state": "optimized geometry", "dft_energy_ha_per_atom": -0.265, "crystal_system": "orthorhombic", "space_group": "Imma (74)", "cell": [[-5.2459, -2.9508, -1.1013], [0.1455, -5.9131, -1.8475], [-1.9769, -4.3160, 3.9829]], "species": ["O", "O", "O", "O", "O", "O", "O", "O", "Zn", "Zn", "Zr", "Zr", "Mn", "Mn"], "frac_coords": [[0.2312, 0.2496, 0.7496], [0.2441, 0.7740, 0.7377], [0.7559, 0.2260, 0.2623], [0.7696, 0.2496, 0.7496], [0.2304, 0.7504, 0.2504], [0.2441, 0.2377, 0.2740], [0.7688, 0.7504, 0.2504], [0.7559, 0.7623, 0.7260], [0.6347, 0.6153, 0.1153], [0.3653, 0.3847, 0.8847], [0.0000, 0.5000, 0.5000], [0.0000, 0.0000, 0.0000], [0.5000, 0.0000, 0.5000], [0.0000, 0.0000, 0.5000]]}